# 1
Density functional theory data (PBE) for a relaxed Tb4Nd4Tm crystal.

Results
ΔE_f = 0.02 eV per atom
crystal system = monoclinic

abc: 6.233 6.229 11.968
angles: 85.25 64.31 48.45
Element x y z (fractional)
Nd 0.168 0.332 0.332
Tb 0.610 0.556 0.223
Nd 0.056 0.778 0.111
Tb 0.280 0.888 0.554
Nd 0.944 0.222 0.889
Tb 0.720 0.112 0.446
Tm 0.500 0.000 0.000
Nd 0.832 0.668 0.668
Tb 0.390 0.444 0.777

=====

# 2
Density functional theory data (PBE) for a relaxed Ca2NdSm crystal.

Results
ΔE_f = 0.04 eV per atom
crystal system = trigonal
offset from the most stable computed form = 0.0 meV per atom

abc: 3.759 3.759 12.590
angles: 81.41 81.41 60.00
Element x y z (fractional)
Nd 0.257 0.257 0.229
Ca 0.838 0.838 0.486
Sm 0.999 0.999 0.003
Ca 0.417 0.417 0.750

=====

# 3
Density functional theory data (PBE) for a relaxed Pr8ZnCd2 crystal.

Results
ΔE_f = -0.15 eV per atom
crystal system = monoclinic
offset from the most stable computed form = 0.0 meV per atom

abc: 5.542 6.829 9.676
angles: 91.40 106.64 90.00
Element x y z (fractional)
Pr 0.968 0.237 0.936
Pr 0.671 0.907 0.342
Pr 0.329 0.093 0.658
Pr 0.032 0.763 0.064
Pr 0.789 0.407 0.578
Pr 0.408 0.593 0.817
Pr 0.592 0.407 0.183
Zn 0.500 0.000 0.000
Cd 0.851 0.852 0.701
Pr 0.211 0.593 0.422
Cd 0.149 0.148 0.299

=====

# 4
Density functional theory data (PBE) for a relaxed Pu2Sb4Pd3Rh crystal.

Results
E_form (uncorrected) = -545 meV/atom
crystal system = tetragonal

abc: 4.612 4.612 10.549
angles: 90.00 90.00 90.00
Last column: magnetic moment on the atom in μB.
Element x y z (fractional)
Pu 0.000 0.500 0.742  5.40
Pd 0.500 0.000 0.870  0.00
Pu 0.500 0.000 0.258  5.40
Sb 0.000 0.000 0.000  -0.02
Sb 0.000 0.500 0.373  -0.02
Sb 0.500 0.500 0.000  -0.02
Rh 0.500 0.500 0.500  -0.01
Sb 0.500 0.000 0.627  -0.02
Pd 0.000 0.000 0.500  0.01
Pd 0.000 0.500 0.130  0.00

=====

# 5
Density functional theory data (PBE) for a relaxed BaPrBN2 crystal.

Results
E_form (uncorrected) = -791 meV/atom
crystal system = orthorhombic

abc: 5.358 5.603 7.274
angles: 90.02 90.00 90.00
Element x y z (fractional)
N 0.210 0.136 0.000
Ba 0.000 0.500 0.250
N 0.790 0.136 0.500
Pr 0.500 0.000 0.750
B 0.000 0.000 0.000
N 0.210 0.864 0.500
Pr 0.500 0.000 0.250
N 0.790 0.864 0.000
B 0.000 0.000 0.500
Ba 0.000 0.500 0.750

=====

# 6
Density functional theory data (PBE) for a relaxed Ac4DySe7 crystal.

Results
E_form (uncorrected) = -1968 meV/atom
crystal system = monoclinic

abc: 4.301 7.548 12.691
angles: 104.73 90.00 106.56
Element x y z (fractional)
Se 0.040 0.079 0.766
Ac 0.308 0.616 0.203
Ac 0.003 0.006 0.993
Se 0.474 0.947 0.488
Se 0.275 0.549 0.650
Se 0.342 0.684 0.953
Se 0.664 0.329 0.052
Se 0.962 0.925 0.215
Dy 0.883 0.765 0.574
Se 0.739 0.477 0.363
Ac 0.108 0.215 0.434
Ac 0.703 0.406 0.808

=====

# 7
Density functional theory data (PBE) for a relaxed TmTiRuPt crystal.

Results
ΔE_f = -0.71 eV per atom
crystal system = cubic

abc: 4.616 4.616 4.616
angles: 60.00 60.00 60.00
Element x y z (fractional)
Pt 0.250 0.250 0.250
Ru 0.750 0.750 0.750
Tm 0.000 0.000 0.000
Ti 0.500 0.500 0.500

=====

# 8
Density functional theory data (PBE) for a relaxed Na2BiAsH crystal.

Results
crystal system = tetragonal
offset from the most stable computed form = 24.5 meV per atom

abc: 4.880 4.880 4.252
angles: 90.00 90.00 90.00
Element x y z (fractional)
Na 0.000 0.500 0.000
As 0.000 0.000 0.500
Na 0.500 0.000 0.000
H 0.000 0.000 0.000
Bi 0.500 0.500 0.500

=====

# 9
Density functional theory data (PBE) for a relaxed NaNdS2O6 crystal.

Results
E_form (uncorrected) = -1982 meV/atom
crystal system = monoclinic

abc: 6.523 6.523 7.658
angles: 93.41 93.41 107.51
Element x y z (fractional)
O 0.212 0.197 0.729
O 0.699 0.471 0.569
Na 0.832 0.168 0.750
S 0.664 0.906 0.143
O 0.554 0.036 0.258
O 0.803 0.788 0.771
O 0.446 0.964 0.742
O 0.788 0.803 0.271
S 0.906 0.664 0.643
O 0.301 0.529 0.431
O 0.964 0.446 0.242
Nd 0.580 0.420 0.250
Na 0.168 0.832 0.250
S 0.336 0.094 0.857
O 0.197 0.212 0.229
O 0.036 0.554 0.758
Nd 0.420 0.580 0.750
O 0.471 0.699 0.069
S 0.094 0.336 0.357
O 0.529 0.301 0.931

=====

# 10
Density functional theory data (PBE) for a relaxed KRb2NaCd crystal.

Results
ΔE_f = 0.12 eV per atom
crystal system = tetragonal
offset from the most stable computed form = 63.6 meV per atom

abc: 7.391 7.391 5.935
angles: 90.00 90.00 90.00
Element x y z (fractional)
K 0.500 0.500 0.500
Cd 0.000 0.000 0.500
Na 0.000 0.000 0.000
Rb 0.500 0.000 0.000
Rb 0.000 0.500 0.000

=====

| no. | ρ (g/cm3) | V (A^3/atom) |
| --- | --- | --- |
| 1 | 7.68 | 33.18 |
| 2 | 4.10 | 37.94 |
| 3 | 6.71 | 31.89 |
| 4 | 10.34 | 22.43 |
| 5 | 4.82 | 21.83 |
| 6 | 7.08 | 31.73 |
| 7 | 12.25 | 17.38 |
| 8 | 5.43 | 20.25 |
| 9 | 3.52 | 15.46 |
| 10 | 1.77 | 64.83 |